(1)
The following is a DFT calculation (PBE) of SrGe2W after structural relaxation.

Output
The symmetry is Fm-3m. The energy above the most stable polymorph in this dataset comes out at 220 meV/atom. The value obtained for the total energy is -5.525 eV per atom. The formation energy is 42.71 kJ/mol of atoms. As for the crystal system: cubic.

a = 4.8496 Å, b = 4.8496 Å, c = 4.8496 Å
α = 60.00°, β = 60.00°, γ = 60.00°
Last column: nearest neighbours and their distance in Å.
Element x y z (fractional)
1 Sr 0.0000 0.0000 0.0000  8 Ge 2.97
2 Ge 0.2500 0.2500 0.2500  4 W 2.97, 4 Sr 2.97
3 Ge 0.7500 0.7500 0.7500  4 W 2.97, 4 Sr 2.97
4 W 0.5000 0.5000 0.5000  8 Ge 2.97

(2)
The following is a DFT calculation (PBE) of Sr2Y2Ge after structural relaxation.

Output
The symmetry is I4/mmm. The energy above the most stable polymorph in this dataset comes out at 311 meV/atom. The value obtained for the total energy is -3.934 eV per atom. The formation energy is 23.94 kJ/mol of atoms. As for the crystal system: tetragonal.

a = 10.6831 Å, b = 10.6831 Å, c = 10.6831 Å
α = 156.70°, β = 156.70°, γ = 33.19°
Last column: nearest neighbours and their distance in Å.
Element x y z (fractional)
1 Sr 0.0854 0.0854 0.0000  1 Sr 3.50, 4 Ge 3.52
2 Sr 0.9146 0.9146 0.0000  1 Sr 3.50, 4 Ge 3.52
3 Y 0.2500 0.7500 0.5000  4 Y 3.05
4 Y 0.7500 0.2500 0.5000  4 Y 3.05
5 Ge 0.5000 0.5000 0.0000  8 Sr 3.52

(3)
The following is a DFT calculation (PBE) of SrYGe2 after structural relaxation.

Output
The symmetry is I-42d. The value obtained for the total energy is -4.579 eV per atom. The formation energy is -22.59 kJ/mol of atoms. As for the crystal system: tetragonal.

a = 6.6881 Å, b = 6.6881 Å, c = 6.6881 Å
α = 105.48°, β = 105.48°, γ = 117.78°
Last column: nearest neighbours and their distance in Å.
Element x y z (fractional)
1 Sr 0.0000 0.0000 0.0000  4 Ge 3.10, 2 Y 3.46
2 Sr 0.7500 0.2500 0.5000  4 Ge 3.10, 2 Y 3.46
3 Y 0.2500 0.7500 0.5000  4 Ge 2.89
4 Y 0.5000 0.5000 0.0000  4 Ge 2.89
5 Ge 0.1438 0.1250 0.5188  2 Y 2.89, 2 Sr 3.10
6 Ge 0.3750 0.8562 0.9812  2 Y 2.89, 2 Sr 3.10
7 Ge 0.6062 0.6250 0.4812  2 Y 2.89, 2 Sr 3.10
8 Ge 0.8750 0.3938 0.0188  2 Y 2.89, 2 Sr 3.10

(4)
The following is a DFT calculation (PBE) of SrYGe2 after structural relaxation.

Output
The symmetry is R-3m. The value obtained for the total energy is -4.811 eV per atom. The formation energy is -44.98 kJ/mol of atoms. As for the crystal system: trigonal.

a = 6.2465 Å, b = 6.2465 Å, c = 6.2465 Å
α = 45.11°, β = 45.11°, γ = 45.11°
Last column: nearest neighbours and their distance in Å.
Element x y z (fractional)
1 Sr 0.0000 0.0000 0.0000  6 Ge 3.22
2 Y 0.5000 0.5000 0.5000  6 Ge 2.99
3 Ge 0.2348 0.2348 0.2348  3 Y 2.99, 3 Sr 3.22
4 Ge 0.7652 0.7652 0.7652  3 Y 2.99, 3 Sr 3.22

(5)
The following is a DFT calculation (PBE) of Sr2Y2Ge after structural relaxation.

Output
The symmetry is P4/mbm. The energy above the most stable polymorph in this dataset comes out at 0 meV/atom. The value obtained for the total energy is -4.245 eV per atom. The formation energy is -6.06 kJ/mol of atoms. As for the crystal system: tetragonal.

a = 7.8273 Å, b = 7.8273 Å, c = 6.0478 Å
α = 90.00°, β = 90.00°, γ = 90.00°
Last column: nearest neighbours and their distance in Å.
Element x y z (fractional)
1 Sr 0.1662 0.3338 0.0000  6 Y 3.59-3.96, 1 Sr 3.68
2 Sr 0.3338 0.8338 0.0000  6 Y 3.59-3.96, 1 Sr 3.68
3 Sr 0.6662 0.1662 0.0000  6 Y 3.59-3.96, 1 Sr 3.68
4 Sr 0.8338 0.6662 0.0000  6 Y 3.59-3.96, 1 Sr 3.68
5 Y 0.1595 0.6595 0.5000  2 Ge 2.94
6 Y 0.3405 0.1595 0.5000  2 Ge 2.94
7 Y 0.6595 0.8405 0.5000  2 Ge 2.94
8 Y 0.8405 0.3405 0.5000  2 Ge 2.94
9 Ge 0.0000 0.0000 0.5000  4 Y 2.94
10 Ge 0.5000 0.5000 0.5000  4 Y 2.94

(6)
The following is a DFT calculation (PBE) of Sr2YGe2 after structural relaxation.

Output
The symmetry is P4/mbm. The value obtained for the total energy is -4.361 eV per atom. The formation energy is -52.94 kJ/mol of atoms. As for the crystal system: tetragonal.

a = 7.7607 Å, b = 7.7607 Å, c = 4.9271 Å
α = 90.00°, β = 90.00°, γ = 90.00°
Last column: nearest neighbours and their distance in Å.
Element x y z (fractional)
1 Sr 0.1707 0.3293 0.0000  6 Ge 3.36-3.37, 1 Sr 3.75
2 Sr 0.3293 0.8293 0.0000  6 Ge 3.36-3.37, 1 Sr 3.75
3 Sr 0.6707 0.1707 0.0000  6 Ge 3.36-3.37, 1 Sr 3.75
4 Sr 0.8293 0.6707 0.0000  6 Ge 3.36-3.37, 1 Sr 3.75
5 Y 0.0000 0.0000 0.5000  4 Ge 3.08
6 Y 0.5000 0.5000 0.5000  4 Ge 3.08
7 Ge 0.1217 0.6217 0.5000  1 Ge 2.67
8 Ge 0.3783 0.1217 0.5000  1 Ge 2.67
9 Ge 0.6217 0.8783 0.5000  1 Ge 2.67
10 Ge 0.8783 0.3783 0.5000  1 Ge 2.67

(7)
The following is a DFT calculation (PBE) of Sr2Y2Ge after structural relaxation.

Output
The symmetry is P4/mbm. The energy above the most stable polymorph in this dataset comes out at 354 meV/atom. The value obtained for the total energy is -3.890 eV per atom. The formation energy is 28.15 kJ/mol of atoms. As for the crystal system: tetragonal.

a = 8.0990 Å, b = 8.0990 Å, c = 5.6969 Å
α = 90.00°, β = 90.00°, γ = 90.00°
Last column: nearest neighbours and their distance in Å.
Element x y z (fractional)
1 Sr 0.1536 0.3464 0.0000  2 Ge 3.07
2 Sr 0.3464 0.8464 0.0000  2 Ge 3.07
3 Sr 0.6536 0.1536 0.0000  2 Ge 3.07
4 Sr 0.8464 0.6536 0.0000  2 Ge 3.07
5 Y 0.1560 0.6560 0.5000  1 Y 3.57, 6 Sr 3.59-3.79
6 Y 0.3440 0.1560 0.5000  1 Y 3.57, 6 Sr 3.59-3.79
7 Y 0.6560 0.8440 0.5000  1 Y 3.57, 6 Sr 3.59-3.79
8 Y 0.8440 0.3440 0.5000  1 Y 3.57, 6 Sr 3.59-3.79
9 Ge 0.0000 0.0000 0.0000  4 Sr 3.07
10 Ge 0.5000 0.5000 0.0000  4 Sr 3.07

(8)
The following is a DFT calculation (PBE) of SrYZn2Ge after structural relaxation.

Output
The symmetry is P4/mmm. The value obtained for the total energy is -2.384 eV per atom. The formation energy is 65.41 kJ/mol of atoms. As for the crystal system: tetragonal.

a = 5.2784 Å, b = 5.2784 Å, c = 5.5643 Å
α = 90.00°, β = 90.00°, γ = 90.00°
Last column: nearest neighbours and their distance in Å.
Element x y z (fractional)
1 Sr 0.0000 0.0000 0.0000  4 Zn 2.64, 2 Ge 2.78
2 Y 0.5000 0.5000 0.5000  4 Ge 3.73, 8 Zn 3.83
3 Zn 0.0000 0.5000 0.0000  2 Sr 2.64
4 Zn 0.5000 0.0000 0.0000  2 Sr 2.64
5 Ge 0.0000 0.0000 0.5000  2 Sr 2.78

(9)
The following is a DFT calculation (PBE) of Sr2ZnGe after structural relaxation.

Output
The symmetry is I-42d. The energy above the most stable polymorph in this dataset comes out at 602 meV/atom. The value obtained for the total energy is -2.153 eV per atom. The formation energy is 15.48 kJ/mol of atoms. As for the crystal system: tetragonal.

a = 10.2624 Å, b = 10.2624 Å, c = 10.2624 Å
α = 147.25°, β = 147.25°, γ = 46.99°
Last column: nearest neighbours and their distance in Å.
Element x y z (fractional)
1 Sr 0.1110 0.6250 0.9860  2 Ge 3.08, 2 Zn 3.16
2 Sr 0.3750 0.3610 0.4860  2 Ge 3.08, 2 Zn 3.16
3 Sr 0.6390 0.1250 0.0140  2 Ge 3.08, 2 Zn 3.16
4 Sr 0.8750 0.8890 0.5140  2 Ge 3.08, 2 Zn 3.16
5 Zn 0.2500 0.7500 0.5000  4 Sr 3.16
6 Zn 0.5000 0.5000 0.0000  4 Sr 3.16
7 Ge 0.0000 0.0000 0.0000  4 Sr 3.08
8 Ge 0.7500 0.2500 0.5000  4 Sr 3.08

(10)
The following is a DFT calculation (PBE) of SrZn2Ge2 after structural relaxation.

Output
The symmetry is I4/mmm. The value obtained for the total energy is -3.016 eV per atom. The formation energy is -31.17 kJ/mol of atoms. As for the crystal system: tetragonal.

a = 6.2484 Å, b = 6.2484 Å, c = 6.2484 Å
α = 138.54°, β = 138.54°, γ = 60.07°
Last column: nearest neighbours and their distance in Å.
Element x y z (fractional)
1 Sr 0.0000 0.0000 0.0000  8 Zn 3.37, 8 Ge 3.49
2 Zn 0.3849 0.3849 0.0000  1 Zn 2.49, 4 Ge 2.65
3 Zn 0.6151 0.6151 0.0000  1 Zn 2.49, 4 Ge 2.65
4 Ge 0.2500 0.7500 0.5000  4 Zn 2.65
5 Ge 0.7500 0.2500 0.5000  4 Zn 2.65

(11)
The following is a DFT calculation (PBE) of Sr3ZnGe4 after structural relaxation.

Output
The symmetry is Immm. The value obtained for the total energy is -3.455 eV per atom. The formation energy is -34.38 kJ/mol of atoms. As for the crystal system: orthorhombic.

a = 9.0159 Å, b = 9.0159 Å, c = 9.0159 Å
α = 149.04°, β = 141.01°, γ = 50.60°
Last column: nearest neighbours and their distance in Å.
Element x y z (fractional)
1 Sr 0.0000 0.0000 0.0000  8 Ge 3.30
2 Sr 0.3064 0.8064 0.5000  6 Ge 3.25-3.32
3 Sr 0.6936 0.1936 0.5000  6 Ge 3.25-3.32
4 Zn 0.5000 0.5000 0.0000  4 Ge 2.61
5 Ge 0.0861 0.3832 0.7028  1 Ge 2.44, 1 Zn 2.61
6 Ge 0.3196 0.6168 0.7028  1 Ge 2.44, 1 Zn 2.61
7 Ge 0.6804 0.3832 0.2972  1 Ge 2.44, 1 Zn 2.61
8 Ge 0.9139 0.6168 0.2972  1 Ge 2.44, 1 Zn 2.61

(12)
The following is a DFT calculation (PBE) of Sr2ZnGe after structural relaxation.

Output
The symmetry is Fm-3m. The energy above the most stable polymorph in this dataset comes out at 29 meV/atom. The value obtained for the total energy is -2.726 eV per atom. The formation energy is -39.75 kJ/mol of atoms. As for the crystal system: cubic.

a = 5.4708 Å, b = 5.4708 Å, c = 5.4708 Å
α = 60.00°, β = 60.00°, γ = 60.00°
Last column: nearest neighbours and their distance in Å.
Element x y z (fractional)
1 Sr 0.2500 0.2500 0.2500  4 Ge 3.35, 4 Zn 3.35
2 Sr 0.7500 0.7500 0.7500  4 Ge 3.35, 4 Zn 3.35
3 Zn 0.0000 0.0000 0.0000  8 Sr 3.35
4 Ge 0.5000 0.5000 0.5000  8 Sr 3.35